1.
BeRuW2: relaxed, PBEsol.

Energy of formation from the pure elements   222.6 meV/atom
Calculated volume   13.7 Å³ per atom
E_tot   -10.22 eV per atom
ρ   14.46 Mg/m³
E above lowest polymorph   47 meV/atom
M_tot   0.000 μB per atom
Crystal system   orthorhombic

a = 4.684 Å, b = 4.684 Å, c = 2.699 Å
α = 90.00°, β = 90.00°, γ = 112.12°
Atoms (fractional coordinates):
Be1 0.000 0.000 0.000
Ru1 0.500 0.500 0.000
W1 0.000 0.500 0.500
W2 0.500 0.000 0.500

2.
Li3Pt: relaxed, PBEsol.

Energy of formation from the pure elements   -309.8 meV/atom
Calculated volume   13.5 Å³ per atom
E_tot   -3.53 eV per atom
ρ   6.66 Mg/m³
E above lowest polymorph   44 meV/atom
M_tot   0.000 μB per atom
Crystal system   cubic

a = 3.777 Å, b = 3.777 Å, c = 3.777 Å
α = 90.00°, β = 90.00°, γ = 90.00°
Atoms (fractional coordinates):
Li1 0.000 0.000 0.500
Li2 0.000 0.500 0.000
Li3 0.500 0.000 0.000
Pt1 0.500 0.500 0.500

3.
Sr21In8Pb7: relaxed, PBEsol.

Energy of formation from the pure elements   -524.4 meV/atom
Calculated volume   36.1 Å³ per atom
E_tot   -3.04 eV per atom
ρ   5.37 Mg/m³
M_tot   0.000 μB per atom
Crystal system   cubic

a = 12.254 Å, b = 12.254 Å, c = 12.254 Å
α = 60.00°, β = 60.00°, γ = 60.00°
Atoms (fractional coordinates):
Sr1 0.000 0.000 0.000
Sr2 0.128 0.128 0.128
Sr3 0.128 0.128 0.615
Sr4 0.128 0.615 0.128
Sr5 0.183 0.500 0.500
Sr6 0.183 0.500 0.817
Sr7 0.183 0.817 0.500
Sr8 0.385 0.872 0.872
Sr9 0.500 0.183 0.500
Sr10 0.500 0.183 0.817
Sr11 0.500 0.500 0.183
Sr12 0.500 0.500 0.817
Sr13 0.500 0.817 0.183
Sr14 0.500 0.817 0.500
Sr15 0.615 0.128 0.128
Sr16 0.817 0.183 0.500
Sr17 0.817 0.500 0.183
Sr18 0.817 0.500 0.500
Sr19 0.872 0.385 0.872
Sr20 0.872 0.872 0.385
Sr21 0.872 0.872 0.872
In1 0.067 0.311 0.311
In2 0.311 0.067 0.311
In3 0.311 0.311 0.067
In4 0.311 0.311 0.311
In5 0.689 0.689 0.689
In6 0.689 0.689 0.933
In7 0.689 0.933 0.689
In8 0.933 0.689 0.689
Pb1 0.213 0.213 0.787
Pb2 0.213 0.787 0.213
Pb3 0.213 0.787 0.787
Pb4 0.500 0.500 0.500
Pb5 0.787 0.213 0.213
Pb6 0.787 0.213 0.787
Pb7 0.787 0.787 0.213

4.
KNa2Cd2: relaxed, PBEsol.

Energy of formation from the pure elements   22.3 meV/atom
Calculated volume   33.3 Å³ per atom
E_tot   -1.24 eV per atom
ρ   3.09 Mg/m³
E above lowest polymorph   21 meV/atom
M_tot   0.000 μB per atom
Crystal system   tetragonal

a = 7.838 Å, b = 7.838 Å, c = 7.838 Å
α = 143.86°, β = 143.86°, γ = 52.04°
Atoms (fractional coordinates):
K1 0.000 0.000 0.000
Na1 0.250 0.750 0.500
Na2 0.750 0.250 0.500
Cd1 0.400 0.400 0.000
Cd2 0.600 0.600 0.000

5.
NiAs2Pb: relaxed, PBEsol.

Energy of formation from the pure elements   403.8 meV/atom
Calculated volume   19.0 Å³ per atom
E_tot   -4.69 eV per atom
ρ   9.07 Mg/m³
M_tot   0.000 μB per atom
Crystal system   tetragonal

a = 5.857 Å, b = 5.857 Å, c = 5.857 Å
α = 141.85°, β = 141.85°, γ = 55.06°
Atoms (fractional coordinates):
Ni1 0.000 0.000 0.000
As1 0.250 0.750 0.500
As2 0.750 0.250 0.500
Pb1 0.500 0.500 0.000

6.
CuPtAu2: relaxed, PBEsol.

Energy of formation from the pure elements   -18.2 meV/atom
Calculated volume   15.2 Å³ per atom
E_tot   -4.80 eV per atom
ρ   17.86 Mg/m³
E above lowest polymorph   26 meV/atom
M_tot   0.000 μB per atom
Crystal system   orthorhombic

a = 2.844 Å, b = 3.672 Å, c = 5.810 Å
α = 90.00°, β = 90.00°, γ = 90.00°
Atoms (fractional coordinates):
Cu1 0.000 0.000 0.000
Pt1 0.500 0.500 0.223
Au1 0.000 0.000 0.484
Au2 0.500 0.500 0.756

7.
SbRuPt2: relaxed, PBEsol.

Calculated volume   16.6 Å³ per atom
E_tot   -6.96 eV per atom
ρ   15.35 Mg/m³
M_tot   0.097 μB per atom
Crystal system   tetragonal

a = 2.886 Å, b = 2.886 Å, c = 7.963 Å
α = 90.00°, β = 90.00°, γ = 90.00°
Atoms (fractional coordinates):
Sb1 0.000 0.000 0.000
Ru1 0.000 0.000 0.500
Pt1 0.500 0.500 0.278
Pt2 0.500 0.500 0.722

8.
CrPd3Br: relaxed, PBEsol.

Calculated volume   19.8 Å³ per atom
E_tot   -5.17 eV per atom
ρ   7.56 Mg/m³
M_tot   0.978 μB per atom
Crystal system   cubic

a = 4.628 Å, b = 4.628 Å, c = 4.628 Å
α = 90.00°, β = 90.00°, γ = 90.00°
Atoms (fractional coordinates):
Cr1 0.000 0.000 0.000
Pd1 0.000 0.500 0.500
Pd2 0.500 0.000 0.500
Pd3 0.500 0.500 0.000
Br1 0.500 0.500 0.500